i.
This record from the Alexandria database describes a geometry-optimized CuPtW2 structure. The functional is PBE-GGA.

Geometry as POSCAR:
```
CuPtW2
1.0
2.743 0.000 0.000
0.000 2.743 0.000
0.000 0.000 7.883
Cu Pt W
1 1 2
Direct
0.000 0.000 0.000
0.000 0.000 0.500
0.500 0.500 0.235
0.500 0.500 0.765
```

Values from the calculation:
- Total magnetic moment: 0.00 μB per atom

---

ii.
This record from the Alexandria database describes a geometry-optimized CuPtW2 structure. The functional is PBE-GGA.

Geometry as POSCAR:
```
CuPtW2
1.0
2.698 0.000 0.000
0.000 4.109 0.000
0.000 0.000 5.388
Cu Pt W
1 1 2
Direct
0.000 0.000 0.000
0.000 0.000 0.500
0.500 0.500 0.239
0.500 0.500 0.761
```

Values from the calculation:
- Total magnetic moment: 0.00 μB per atom

---

iii.
This record from the Alexandria database describes a geometry-optimized CuPtW2 structure. The functional is PBE-GGA.

Geometry as POSCAR:
```
CuPtW2
1.0
-1.970 1.970 3.889
1.970 -1.970 3.889
1.970 1.970 -3.889
Cu Pt W
1 1 2
Direct
0.000 0.000 0.000
0.750 0.250 0.500
0.250 0.750 0.500
0.500 0.500 0.000
```

Values from the calculation:
- Total magnetic moment: 0.00 μB per atom

---

iv.
This record from the Alexandria database describes a geometry-optimized CuPtW2 structure. The functional is PBE-GGA.

Geometry as POSCAR:
```
CuPtW2
1.0
1.384 0.799 9.149
-1.384 0.799 9.149
0.000 -1.598 9.149
Cu Pt W
1 1 2
Direct
0.000 0.000 0.000
0.500 0.500 0.500
0.252 0.252 0.252
0.748 0.748 0.748
```

Values from the calculation:
- Total magnetic moment: 0.00 μB per atom

---

Which of them is the most stable, and which is the least stable? ii and iv, in that order.

---

i.
This record from the Alexandria database describes a geometry-optimized CuPtW2 structure. The functional is PBE-GGA.

Geometry as POSCAR:
```
CuPtW2
1.0
3.261 0.000 0.000
0.000 3.261 0.000
0.000 0.000 5.698
Cu Pt W
1 1 2
Direct
0.000 0.000 0.000
0.500 0.500 0.227
0.000 0.000 0.504
0.500 0.500 0.753
```

Values from the calculation:
- Total magnetic moment: 0.00 μB per atom

---

ii.
This record from the Alexandria database describes a geometry-optimized CuPtW2 structure. The functional is PBE-GGA.

Geometry as POSCAR:
```
CuPtW2
1.0
2.694 0.000 0.000
0.000 4.352 0.000
-0.610 0.000 5.115
Cu Pt W
1 1 2
Direct
0.000 0.000 0.000
0.046 0.500 0.268
0.422 0.500 0.794
0.629 0.000 0.501
```

Values from the calculation:
- Total magnetic moment: 0.00 μB per atom

---

Which of them is the most stable, and which is the least stable? ii and i, in that order.

---

i.
This record from the Alexandria database describes a geometry-optimized CuPtW2 structure. The functional is PBE-GGA.

Geometry as POSCAR:
```
CuPtW2
1.0
2.712 0.000 0.000
0.000 3.954 0.000
0.000 0.000 5.625
Cu Pt W
1 1 2
Direct
0.000 0.000 0.000
0.500 0.500 0.236
0.000 0.000 0.498
0.500 0.500 0.762
```

Values from the calculation:
- Total magnetic moment: 0.00 μB per atom

---

ii.
This record from the Alexandria database describes a geometry-optimized CuPtW2 structure. The functional is PBE-GGA.

Geometry as POSCAR:
```
CuPtW2
1.0
-1.884 1.884 4.213
1.884 -1.884 4.213
1.884 1.884 -4.213
Cu Pt W
1 1 2
Direct
0.000 0.000 0.000
0.500 0.500 0.000
0.250 0.750 0.500
0.750 0.250 0.500
```

Values from the calculation:
- Total magnetic moment: 0.00 μB per atom

---

Which of them is the most stable, and which is the least stable? i and ii, in that order.

---

i.
This record from the Alexandria database describes a geometry-optimized CuPt3W structure. The functional is PBE-GGA.

Geometry as POSCAR:
```
CuPt3W
1.0
4.840 0.000 0.000
0.000 4.840 0.000
0.000 0.000 4.840
Cu Pt W
1 3 1
Direct
0.000 0.000 0.000
0.000 0.500 0.500
0.500 0.000 0.500
0.500 0.500 0.000
0.500 0.500 0.500
```

Values from the calculation:
- Total magnetic moment: 0.00 μB per atom

---

ii.
This record from the Alexandria database describes a geometry-optimized CuPt3W structure. The functional is PBE-GGA.

Geometry as POSCAR:
```
CuPt3W
1.0
4.501 0.000 0.000
0.000 4.501 0.000
0.000 0.000 4.501
Cu Pt W
1 3 1
Direct
0.000 0.000 0.000
0.000 0.000 0.500
0.000 0.500 0.000
0.500 0.000 0.000
0.500 0.500 0.500
```

Values from the calculation:
- Total magnetic moment: 0.61 μB per atom

---

Which of them is the most stable, and which is the least stable? i and ii, in that order.